# Sc4GaPd (PBE-GGA, relaxed)
data_Sc4GaPd
_symmetry_space_group_name_H-M 'P 1'
_symmetry_Int_Tables_number 1
_symmetry_space_group_name_Hall 'P 1'
_cell_length_a 3.392
_cell_length_b 5.785
_cell_length_c 7.077
_cell_angle_alpha 104.47
_cell_angle_beta 76.15
_cell_angle_gamma 107.04
loop_
_atom_site_label
_atom_site_fract_x
_atom_site_fract_y
_atom_site_fract_z
Sc1 0.589 0.240 0.811
Sc2 0.167 0.683 0.100
Sc3 0.349 0.331 0.382
Sc4 0.897 0.744 0.699
Ga1 0.616 0.909 0.428
Pd1 0.881 0.094 0.080
# relative energy among the computed polymorphs: 0.000 eV per atom
# density of states at the Fermi level: 8.0 states/eV per cell
# ρ: 4.67 g/cm3
# formation energy from the elements: -491 meV per atom



# Ca2AcLa (PBE-GGA, relaxed)
data_Ca2AcLa
_symmetry_space_group_name_H-M 'P 1'
_symmetry_Int_Tables_number 1
_symmetry_space_group_name_Hall 'P 1'
_cell_length_a 5.765
_cell_length_b 5.344
_cell_length_c 5.344
_cell_angle_alpha 90.00
_cell_angle_beta 90.00
_cell_angle_gamma 90.00
loop_
_atom_site_label
_atom_site_fract_x
_atom_site_fract_y
_atom_site_fract_z
Ac1 0.500 0.000 0.000
Ca1 0.000 0.000 0.500
Ca2 0.000 0.500 0.000
La1 0.500 0.500 0.500
# relative energy among the computed polymorphs: 0.069 eV per atom
# density of states at the Fermi level: 6.0 states/eV per cell
# ρ: 4.50 g/cm3
# formation energy from the elements: 88 meV per atom



# Na2TiNb2O6 (PBE-GGA, relaxed)
data_Na2TiNb2O6
_symmetry_space_group_name_H-M 'P 1'
_symmetry_Int_Tables_number 1
_symmetry_space_group_name_Hall 'P 1'
_cell_length_a 5.258
_cell_length_b 5.258
_cell_length_c 5.932
_cell_angle_alpha 97.29
_cell_angle_beta 97.29
_cell_angle_gamma 119.86
loop_
_atom_site_label
_atom_site_fract_x
_atom_site_fract_y
_atom_site_fract_z
Na1 0.831 0.169 0.000
Na2 0.169 0.831 0.000
Ti1 0.000 0.000 0.500
Nb1 0.357 0.643 0.500
Nb2 0.643 0.357 0.500
O1 0.763 0.763 0.730
O2 0.052 0.389 0.692
O3 0.237 0.237 0.270
O4 0.389 0.052 0.692
O5 0.948 0.611 0.308
O6 0.611 0.948 0.308
# density of states at the Fermi level: 2.5 states/eV per cell
# ρ: 4.53 g/cm3
# energy relative to the elements, uncorrected: -25.4 eV/f.u.



# Ac8AsP3I4 (PBE-GGA, relaxed)
data_Ac8AsP3I4
_symmetry_space_group_name_H-M 'P 1'
_symmetry_Int_Tables_number 1
_symmetry_space_group_name_Hall 'P 1'
_cell_length_a 8.984
_cell_length_b 9.586
_cell_length_c 8.984
_cell_angle_alpha 117.94
_cell_angle_beta 120.00
_cell_angle_gamma 90.00
loop_
_atom_site_label
_atom_site_fract_x
_atom_site_fract_y
_atom_site_fract_z
Ac1 0.236 0.696 0.960
Ac2 0.236 0.696 0.472
Ac3 0.269 0.306 0.538
Ac4 0.724 0.696 0.960
Ac5 0.276 0.304 0.040
Ac6 0.731 0.694 0.462
Ac7 0.764 0.304 0.528
Ac8 0.764 0.304 0.040
As1 0.000 0.500 0.000
P1 0.500 0.500 0.000
P2 0.500 0.500 0.500
P3 0.000 0.500 0.500
I1 0.500 0.000 0.000
I2 0.500 0.000 0.500
I3 0.000 0.000 0.000
I4 0.000 0.000 0.500
# density of states at the Fermi level: 6.8 states/eV per cell
# ρ: 7.34 g/cm3
# energy relative to the elements, uncorrected: -21.0 eV/f.u.



Number 1: uncorrected energy -36.490 eV per formula unit. Number 2: uncorrected energy -12.687 eV per formula unit. Number 3: uncorrected energy -85.826 eV per formula unit. Number 4: uncorrected energy -80.978 eV per formula unit.